The following is a GGA+U calculation of crystalline Na3Er2MnO6 at its relaxed geometry, from the Alexandria database.

Unit cell a=5.716 b=5.716 c=5.830 alpha=98.88 beta=98.88 gamma=120.74
Fractional positions:
O (0.929, 0.602, 0.784)
O (0.602, 0.929, 0.784)
O (0.071, 0.398, 0.216)
Na (0.500, 0.500, 0.500)
Er (0.330, 0.670, 0.000)
O (0.398, 0.071, 0.216)
Na (0.161, 0.839, 0.500)
Na (0.839, 0.161, 0.500)
O (0.764, 0.764, 0.192)
Er (0.670, 0.330, 0.000)
Mn (0.000, 0.000, 0.000)
O (0.236, 0.236, 0.808)

Summary:
Total DFT energy (no corrections) = -0.48486 Ry per atom
Theoretical density = 5.9 g/cm³
Calculated volume = 12.958 Å³ per atom
Total magnetic moment = 0.33 μB per atom